[1]
Density functional theory data (PBE-GGA) for a relaxed CaTe2AuI crystal.

The calculated density comes out at 5.994 g/cm3. The calculation puts the distance to the lowest polymorph of the same formula at 0.000 eV/atom. The uncorrected formation energy comes out at -283 meV/atom. As for the total magnetic moment: 0.00 μB per formula unit. For the total DFT energy (no corrections), the calculation gives -2.906 eV per atom.

It has space group P4/mmm (No. 123), with a = 5.538 Å, b = 5.538 Å, c = 5.593 Å, α = 90.00°, β = 90.00° and γ = 90.00°. The asymmetric unit holds Ca at (0.000, 0.000, 0.000), Te at (0.000, 0.500, 0.500), Au at (0.500, 0.500, 0.500) and I at (0.500, 0.500, 0.000).

***

[2]
Density functional theory data (PBE-GGA) for a relaxed CsK3Tl2Br6 crystal.

The calculated density comes out at 3.955 g/cm3. The uncorrected formation energy comes out at -1453 meV/atom. As for the total magnetic moment: 0.00 μB per formula unit. For the total DFT energy (no corrections), the calculation gives -3.029 eV per atom.

It has space group C2/m (No. 12), with a = 21.085 Å, b = 4.815 Å, c = 9.693 Å, α = 90.00°, β = 103.73° and γ = 90.00°. The asymmetric unit holds Cs at (0.000, 0.000, 0.000), K at (0.000, 0.000, 0.500), K at (0.167, 0.500, 0.829), Tl at (0.169, 0.500, 0.335), Br at (0.001, 0.500, 0.731), Br at (0.167, 0.000, 0.583) and Br at (0.173, 0.000, 0.083).

***

[3]
Density functional theory data (PBE-GGA) for a relaxed NiRhPb2 crystal.

The calculated density comes out at 12.110 g/cm3. The calculation puts the distance to the lowest polymorph of the same formula at 0.099 eV/atom. As for the total magnetic moment: 0.00 μB per formula unit. For the total DFT energy (no corrections), the calculation gives -4.980 eV per atom. As for the energy relative to the elements: 157.4 meV/atom.

It has space group P4mm (No. 99), with a = 3.757 Å, b = 3.757 Å, c = 5.594 Å, α = 90.00°, β = 90.00° and γ = 90.00°. The asymmetric unit holds Ni at (0.000, 0.000, 0.000), Rh at (0.500, 0.500, 0.670), Pb at (0.000, 0.000, 0.518) and Pb at (0.500, 0.500, 0.149).

***

- Which value of calculated density does entry 2 give?
  3.955 g/cm3

***

- The lowest calculated density belongs to which entry?
  CsK3Tl2Br6

***

- Which of these has the highest total DFT energy (no corrections)?
  CaTe2AuI

***

- What is the formula in the first record?
  CaTe2AuI